Compound: NiWO4
Source: Alexandria via LeMat-Bulk
Functional: GGA+U
Structure: relaxed

Cell: 4.7595 5.6191 5.6196 Å, 114.08 90.00 90.00°
Fractional coordinates of all 12 atoms:
Ni 0.5000 0.0000 0.5000
Ni 0.0000 0.5000 0.5000
O 0.7890 0.6710 0.8622
O 0.2110 0.3290 0.1378
O 0.7110 0.1710 0.8622
O 0.3131 0.3738 0.6758
O 0.8131 0.1262 0.3242
O 0.1869 0.8738 0.6758
O 0.6869 0.6262 0.3242
O 0.2890 0.8290 0.1378
W 0.0000 0.0000 0.0000
W 0.5000 0.5000 0.0000

Results
Space group: P2_1/c (14)
Crystal system: monoclinic
VASP energy in eV/atom: -6.606